NaVPbO4: relaxed, PBE with a Hubbard U.

As for the total moment: 0.00 μB per formula unit. Its total energy is -6.35 eV/atom. The value obtained for the density is 4.9 Mg/m³.

The structure belongs to space group P2_1/m (No. 11); the cell edges are 6.0617, 5.9682 and 6.7561 Å and the angles 90.00°, 107.51° and 90.00°. The asymmetric unit holds Na at (0.1723, 0.2500, 0.0546), V at (0.2850, 0.7500, 0.8327), Pb at (0.2690, 0.2500, 0.5920), O at (0.0982, 0.5153, 0.7732), O at (0.4405, 0.7500, 0.0935) and O at (0.4648, 0.7500, 0.6785).



Na2V2PbO7: relaxed, PBE with a Hubbard U.

As for the total moment: 0.00 μB per formula unit. Its total energy is -6.47 eV/atom. The value obtained for the density is 3.3 Mg/m³.

The structure belongs to space group R32 (No. 155, hexagonal axes); the cell edges are 5.8947, 5.8947 and 23.4234 Å and the angles 90.00°, 90.00° and 120.00°. The asymmetric unit holds Na at (0.0000, 0.0000, 0.2382), V at (0.0000, 0.0000, 0.0773), Pb at (0.0000, 0.0000, 0.5000), O at (0.0000, 0.0000, 0.0000) and O at (0.0264, 0.2876, 0.1021).



NaV3Pb4O12: relaxed, PBE with a Hubbard U.

As for the total moment: 0.00 μB per formula unit. Its total energy is -6.60 eV/atom. The value obtained for the density is 5.8 Mg/m³.

The structure belongs to space group P6_3 (No. 173); the cell edges are 10.3192, 10.3192 and 7.4219 Å and the angles 90.00°, 90.00° and 120.00°. The asymmetric unit holds Na at (0.3333, 0.6667, 0.0000), V at (0.0217, 0.3989, 0.7537), Pb at (0.0120, 0.7467, 0.7668), Pb at (0.3333, 0.6667, 0.4727), O at (0.0735, 0.3208, 0.9279), O at (0.0932, 0.3607, 0.5606), O at (0.1126, 0.5955, 0.7771) and O at (0.1709, 0.6802, 0.2456).



NaVPbO5: relaxed, PBE with a Hubbard U.

As for the total moment: 0.00 μB per formula unit. Its total energy is -6.18 eV/atom. The value obtained for the density is 5.1 Mg/m³.

The structure belongs to space group C2/c (No. 15); the cell edges are 7.2327, 9.4566 and 7.5521 Å and the angles 90.00°, 113.22° and 90.00°. The asymmetric unit holds Na at (0.0000, 0.1636, 0.2500), V at (0.0000, 0.1768, 0.7500), Pb at (0.0000, 0.5000, 0.0000), O at (0.0000, 0.4057, 0.2500), O at (0.1100, 0.2857, 0.6314) and O at (0.1768, 0.0648, 0.9145).



Na3V4PbO12: relaxed, PBE with a Hubbard U.

As for the total moment: 0.52 μB per formula unit. Its total energy is -6.34 eV/atom. The value obtained for the density is 3.9 Mg/m³.

The structure belongs to space group R32 (No. 155, hexagonal axes); the cell edges are 12.2438, 12.2438 and 6.6773 Å and the angles 90.00°, 90.00° and 120.00°. The asymmetric unit holds Na at (0.0000, 0.5710, 0.0000), V at (0.0000, 0.0000, 0.5000), V at (0.0000, 0.4265, 0.5000), Pb at (0.0000, 0.0000, 0.0000), O at (0.0000, 0.5631, 0.5000), O at (0.0000, 0.8611, 0.5000) and O at (0.0548, 0.2526, 0.1564).



NaPbWO5: relaxed, PBE with a Hubbard U.

As for the total moment: 0.00 μB per formula unit. Its total energy is -6.23 eV/atom. The value obtained for the density is 5.6 Mg/m³.

The structure belongs to space group C2/c (No. 15); the cell edges are 7.1971, 10.8992 and 8.0725 Å and the angles 90.00°, 113.36° and 90.00°. The asymmetric unit holds Na at (0.0000, 0.2193, 0.2500), Pb at (0.0000, 0.5000, 0.0000), W at (0.0000, 0.2022, 0.7500), O at (0.0000, 0.4328, 0.2500), O at (0.1385, 0.2969, 0.6491) and O at (0.1731, 0.1056, 0.9261).



Na2PbWO6: relaxed, PBE with a Hubbard U.

As for the total moment: 0.00 μB per formula unit. Its total energy is -5.95 eV/atom. The value obtained for the density is 6.8 Mg/m³.

The structure belongs to space group R3 (No. 146, hexagonal axes); the cell edges are 5.6679, 5.6679 and 13.9674 Å and the angles 90.00°, 90.00° and 120.00°. The asymmetric unit holds Na at (0.0000, 0.0000, 0.0000), Na at (0.0000, 0.0000, 0.4872), Pb at (0.0000, 0.0000, 0.7400), W at (0.0000, 0.0000, 0.2396), O at (0.0222, 0.4228, 0.9847) and O at (0.0902, 0.7317, 0.8252).



Na2Pb2WO6: relaxed, PBE with a Hubbard U.

As for the total moment: 0.00 μB per formula unit. Its total energy is -5.88 eV/atom. The value obtained for the density is 7.2 Mg/m³.

The structure belongs to space group C2/m (No. 12); the cell edges are 6.2624, 9.7275 and 6.0071 Å and the angles 90.00°, 110.14° and 90.00°. The asymmetric unit holds Na at (0.0000, 0.1541, 0.0000), Pb at (0.0000, 0.3176, 0.5000), W at (0.0000, 0.5000, 0.0000), O at (0.1868, 0.5000, 0.7861) and O at (0.1926, 0.3561, 0.1981).



NaPb2WO6: relaxed, PBE with a Hubbard U.

As for the total moment: 0.00 μB per formula unit. Its total energy is -6.11 eV/atom. The value obtained for the density is 8.2 Mg/m³.

The structure belongs to space group P2_1/c (No. 14); the cell edges are 5.7446, 6.0266 and 10.0983 Å and the angles 90.00°, 123.80° and 90.00°. The asymmetric unit holds Na at (0.0000, 0.0000, 0.0000), Pb at (0.2277, 0.0452, 0.7404), W at (0.5000, 0.0000, 0.5000), O at (0.1737, 0.1697, 0.4558), O at (0.2686, 0.7314, 0.4269) and O at (0.3967, 0.0606, 0.2811).